This record from Alexandria via LeMat-Bulk describes crystalline NaLiCoF5 at its relaxed geometry. The functional is PBE with a Hubbard U. Values from VASP.

```
&SYSTEM
  ibrav = 0, nat = 16, ntyp = 4
/
ATOMIC_SPECIES
Na 22.99 Na.upf
Li 6.94 Li.upf
Co 58.93 Co.upf
F 19.00 F.upf
CELL_PARAMETERS angstrom
3.217 -4.549 0.000
3.217 4.549 0.000
-2.797 0.000 6.596
ATOMIC_POSITIONS crystal
Na 0.162 0.838 0.750
Na 0.838 0.162 0.250
Li 0.191 0.809 0.250
Li 0.809 0.191 0.750
Co 0.500 0.500 0.000
Co 0.500 0.500 0.500
F 0.146 0.259 0.928
F 0.208 0.582 0.401
F 0.259 0.146 0.428
F 0.418 0.792 0.099
F 0.426 0.574 0.750
F 0.574 0.426 0.250
F 0.582 0.208 0.901
F 0.741 0.854 0.572
F 0.792 0.418 0.599
F 0.854 0.741 0.072
```

Output
* density of states at the Fermi level: 0.000 states/eV per atom
* space-group type: C2/c, No. 15
* uncorrected energy: -4.5825 eV/atom